Record 1
Ta2TlBr: optimized geometry, PBE.

Computed properties:
**Total magnetic moment**: 0.00 Bohr magnetons per cell
**E_tot**: -5.97 eV per atom
**Formation energy without anion corrections**: 0.966 eV per atom
**Crystal system**: tetragonal
**Density of states at the Fermi level**: 11.36 states/eV per cell

Unit cell a=4.3028 b=4.3028 c=8.8917 alpha=90.00 beta=90.00 gamma=90.00
Space group I-4m2 (No. 119)
Symmetry-distinct sites (fractional):
Ta1 0.0000 0.0000 0.0000 [2 per cell]
Ta2 0.0000 0.5000 0.2500 [2 per cell]
Tl1 0.0000 0.5000 0.7500 [2 per cell]
Br1 0.0000 0.0000 0.5000 [2 per cell]

Record 2
TaTlBr6: optimized geometry, PBE.

Computed properties:
**Total magnetic moment**: 0.00 Bohr magnetons per cell
**E_tot**: -3.95 eV per atom
**Formation energy without anion corrections**: -0.920 eV per atom
**Crystal system**: monoclinic
**Density of states at the Fermi level**: 0.00 states/eV per cell

Unit cell a=11.5479 b=9.1267 c=11.2828 alpha=90.00 beta=90.20 gamma=90.00
Space group C2/c (No. 15)
Symmetry-distinct sites (fractional):
Ta1 0.2500 0.2500 0.0000 [4 per cell]
Tl1 0.0000 0.0173 0.2500 [4 per cell]
Br1 0.0602 0.3313 0.0890 [8 per cell]
Br2 0.1681 0.2898 0.7938 [8 per cell]
Br3 0.1791 0.0155 0.4986 [8 per cell]